[1]
KAlSi3O9, optimized geometry, DFT GGA-PBE; volume = 14.32 Å³ per atom; raw formation energy = -2.39 eV per atom
1.0
2.688 -4.656 0.000
2.688 4.656 0.000
0.000 0.000 8.011
O Si Al K
9 3 1 1
Cartesian
1.352 -2.323 6.221
2.688 -0.010 6.221
3.985 -2.301 1.719
2.688 -0.054 1.719
1.391 -2.301 1.719
2.688 1.552 4.074
4.024 -2.323 6.221
0.000 0.000 3.844
2.688 -1.552 3.988
2.688 1.552 5.656
2.688 -1.552 5.612
2.688 -1.552 2.313
2.688 1.552 2.350
0.000 0.000 0.412


[2]
K2AlSiO4, optimized geometry, DFT GGA-PBE; volume = 21.17 Å³ per atom; raw formation energy = -2.12 eV per atom
1.0
4.922 0.000 0.000
2.461 6.363 0.000
2.461 0.000 10.815
Al O K Si
2 8 4 2
Cartesian
6.152 3.181 5.408
0.000 0.000 0.000
4.824 4.096 4.560
3.593 0.914 0.848
3.790 0.914 9.967
7.481 4.096 6.255
3.790 5.449 0.848
4.824 2.267 6.255
8.515 5.449 9.967
2.559 2.267 4.560
4.922 0.000 3.717
6.152 3.181 9.124
2.461 0.000 7.098
6.152 3.181 1.691
2.461 0.000 0.000
3.691 3.181 5.408


[3]
KSm2AlO5, optimized geometry, DFT GGA-PBE; volume = 13.91 Å³ per atom; raw formation energy = -2.96 eV per atom
1.0
-5.441 3.980 0.108
-2.962 -3.924 -4.613
2.028 -3.108 6.269
O K Sm Al
10 2 4 2
Cartesian
-5.427 -0.238 2.363
-2.984 0.083 0.521
-3.650 2.207 1.789
-0.949 -2.815 -0.600
-2.726 -5.259 -0.026
-4.201 0.028 -2.253
0.000 0.000 0.000
-3.391 -3.136 1.242
-3.169 -0.253 3.573
-3.206 -2.800 -1.810
-1.087 -1.540 2.008
-5.288 -1.512 -0.245
-6.471 0.579 -3.058
-4.250 2.000 -0.766
-1.932 -0.524 -1.448
-4.153 -1.944 -3.740
-3.807 0.450 2.062
-2.568 -3.502 -0.299


[4]
K3SmAl2O6, optimized geometry, DFT GGA-PBE; volume = 19.22 Å³ per atom; raw formation energy = -2.36 eV per atom
1.0
6.100 0.000 0.000
-3.050 5.283 0.000
0.000 0.000 7.158
Al K O Sm
2 3 6 1
Cartesian
3.050 1.761 5.086
0.000 3.522 2.072
3.050 1.761 1.796
0.000 0.000 0.000
0.000 3.522 5.362
3.050 3.467 5.073
1.572 0.908 5.073
-1.478 4.375 2.086
4.528 0.908 5.073
0.000 1.816 2.086
1.478 4.375 2.086
0.000 0.000 3.579


[5]
KAlSnO4, optimized geometry, DFT GGA-PBE; volume = 15.32 Å³ per atom; raw formation energy = -2.02 eV per atom
1.0
-1.740 3.649 -3.617
-4.853 0.497 2.837
3.937 2.718 6.260
O Al K Sn
8 2 2 2
Cartesian
-3.555 2.470 1.906
-2.946 4.753 -0.024
0.289 2.111 5.504
-0.369 3.070 1.637
-5.169 4.981 1.275
0.898 4.395 3.573
-2.287 3.795 3.842
2.513 1.884 4.204
-2.705 2.127 3.420
0.048 4.737 2.060
-1.034 4.813 5.809
-1.623 2.052 -0.330
0.538 2.320 3.321
-3.195 4.544 2.158


[6]
KAlSnO2, optimized geometry, DFT GGA-PBE; volume = 17.58 Å³ per atom; raw formation energy = -0.49 eV per atom
1.0
-2.524 2.552 1.998
2.262 -1.294 4.510
2.706 3.053 -0.481
K O Sn Al
1 2 1 1
Cartesian
1.222 2.155 3.014
-1.262 1.276 0.999
1.353 1.527 -0.240
1.131 -0.647 2.255
0.000 0.000 0.000